Record 1
Material: Tb3Sm6HoTh2
Method: DFT, PBE
State: optimized geometry

Computed properties:
V in Å³ per atom: 32.89
ΔE_f in meV per atom: 32
Calculated total energy in eV/cell: -61.2
Total magnetization in μB per cell: 0.000

```
12
Lattice="-6.0577 1.3029 0.5395 1.8209 -5.0369 -3.1619 0.9206 -5.1348 10.7544" Properties=species:S:1:pos:R:3 pbc="T T T"
Tb -4.2843 -2.3210 5.2999
Sm -2.1581 -1.1414 2.6257
Th -3.4297 -0.8118 -0.6951
Sm -2.9339 -4.0600 0.7090
Th -0.8071 -2.9222 -1.9272
Tb -1.6581 -4.4344 4.0660
Sm -1.1580 -7.7274 5.5063
Sm -3.8057 -5.5968 6.7502
Sm 0.4895 -3.2719 1.3818
Ho 0.0000 0.0000 0.0000
Tb 0.9682 -6.5477 2.8322
Sm -0.3822 -4.8088 7.4230
```



Record 2
Material: Tb2Sm3Ho6Th
Method: DFT, PBE
State: optimized geometry

Computed properties:
V in Å³ per atom: 31.89
ΔE_f in meV per atom: 21
Calculated total energy in eV/cell: -58.1
Total magnetization in μB per cell: 0.000

```
12
Lattice="6.1747 0.0006 0.0096 -3.0853 5.3486 0.0096 -1.0496 -1.8173 11.5785" Properties=species:S:1:pos:R:3 pbc="T T T"
Ho 2.0672 3.5794 2.8830
Ho -0.0274 -0.0474 8.7147
Ho -1.0212 1.7588 2.8736
Sm -2.0614 3.5455 5.7989
Ho 0.0061 3.5375 8.7241
Sm 4.1012 -0.0136 5.7989
Tb 3.0883 1.7831 0.0096
Th 0.0000 0.0000 0.0000
Ho 3.0611 1.7731 8.7241
Sm 1.0199 1.7660 5.7989
Ho 2.0338 -0.0056 2.8736
Tb 0.0011 3.5661 0.0096
```



Record 3
Material: TbSmHo5Th2
Method: DFT, PBE
State: optimized geometry

Computed properties:
V in Å³ per atom: 32.80
ΔE_f in meV per atom: 335
Calculated total energy in eV/cell: -88.1
Total magnetization in μB per cell: 0.001

```
18
Lattice="8.7536 0.0000 0.0000 0.0000 8.7536 0.0000 -4.3768 -4.3768 7.7060" Properties=species:S:1:pos:R:3 pbc="T T T"
Ho 2.5488 1.8280 2.1486
Ho -2.5488 1.8280 5.5574
Th 3.3330 7.7098 0.0000
Ho 2.5488 -1.8280 5.5574
Ho 0.0000 0.0000 0.0000
Tb 0.0000 0.0000 3.8530
Th 5.4206 1.0438 0.0000
Tb 4.3768 4.3768 3.8530
Ho -1.8280 -2.5488 5.5574
Sm 0.0000 4.3768 3.8530
Ho 6.2048 6.9256 2.1486
Th 1.0438 3.3330 0.0000
Ho 4.3768 4.3768 0.0000
Ho 1.8280 6.2048 2.1486
Ho 1.8280 2.5488 5.5574
Sm 4.3768 0.0000 3.8530
Ho 6.9256 2.5488 2.1486
Th 7.7098 5.4206 0.0000
```



Record 4
Material: Tb2Sm6Ho3Th
Method: DFT, PBE
State: optimized geometry

Computed properties:
V in Å³ per atom: 32.67
ΔE_f in meV per atom: 30
Calculated total energy in eV/cell: -58.4
Total magnetization in μB per cell: 0.000

```
12
Lattice="-2.2871 -5.4993 -1.7720 0.6896 1.2702 6.0435 -10.3182 5.8219 -1.1128" Properties=species:S:1:pos:R:3 pbc="T T T"
Sm -3.7860 -1.7332 2.9432
Sm -2.4894 1.5204 2.0763
Tb -0.3027 -0.9865 3.4381
Ho -4.9666 3.0508 4.1820
Ho -5.9578 0.7964 1.5793
Sm -9.4263 0.0725 1.0824
Sm -3.4721 -0.7144 -0.5038
Sm -8.1297 3.3261 0.2154
Tb -1.2948 -3.2425 0.8335
Sm -8.4436 2.3073 3.6625
Th 0.0000 0.0000 0.0000
Ho -6.9491 -1.4579 -1.0233
```



Record 5
Material: Tb3SmHoTh
Method: DFT, PBE
State: optimized geometry

Computed properties:
V in Å³ per atom: 32.20
ΔE_f in meV per atom: 23
Calculated total energy in eV/cell: -60.9
Total magnetization in μB per cell: 0.000

```
12
Lattice="-1.7270 2.9005 1.1890 -3.4221 2.0334 -9.9312 -7.0979 -6.2647 4.9727" Properties=species:S:1:pos:R:3 pbc="T T T"
Tb -5.8163 -0.8628 -3.6503
Ho -6.9297 1.6081 -5.9086
Ho -5.3173 -2.9389 2.1390
Tb -8.1926 -2.9882 -1.9173
Th -8.8048 -2.5553 1.5241
Sm -2.9323 -0.8520 0.5125
Tb -4.0544 1.6573 -1.8523
Sm -9.3147 -0.4788 -4.2820
Tb -7.6691 -5.0099 3.7750
Th -3.4422 1.2245 -5.2937
Tb -4.5779 3.6790 -7.5445
Tb -6.4307 -0.4680 -0.1193
```



Record 6
Material: TbSm6Ho2Th3
Method: DFT, PBE
State: optimized geometry

Computed properties:
V in Å³ per atom: 32.83
ΔE_f in meV per atom: 35
Calculated total energy in eV/cell: -63.9
Total magnetization in μB per cell: 0.000

```
12
Lattice="6.2234 0.0024 0.0031 -3.1081 5.3917 0.0031 -1.0446 -1.8087 11.7369" Properties=species:S:1:pos:R:3 pbc="T T T"
Ho 0.0020 3.5955 0.0031
Sm -0.0035 -0.0061 8.7660
Th 4.1462 -0.0040 5.8716
Sm -0.0029 3.5879 8.7701
Th -2.0755 3.5893 5.8716
Tb 0.0000 0.0000 0.0000
Ho 3.1133 1.7986 0.0031
Sm 2.0735 -0.0025 2.9730
Sm -1.0385 1.7948 2.9730
Sm 3.1091 1.7906 8.7701
Th 1.0353 1.7927 5.8716
Sm 2.0742 3.5914 2.9771
```



Record 7
Material: Tb2Sm5HoTh
Method: DFT, PBE
State: optimized geometry

Computed properties:
V in Å³ per atom: 33.73
ΔE_f in meV per atom: 155
Calculated total energy in eV/cell: -86.9
Total magnetization in μB per cell: 0.000

```
18
Lattice="5.6450 0.0000 0.0000 -2.8225 10.2000 0.0000 0.0000 0.0000 10.5447" Properties=species:S:1:pos:R:3 pbc="T T T"
Sm 2.8225 4.5626 8.5684
Sm 0.0000 7.9010 0.2713
Sm 0.0000 5.6373 3.2960
Sm 2.8225 2.2990 5.5437
Th 2.8225 6.1451 5.3974
Tb 2.8225 7.8999 2.4842
Ho 2.8225 1.9072 10.0868
Sm 2.8225 0.4007 2.5682
Sm 2.8225 4.1896 2.1572
Sm 0.0000 9.7992 7.8406
Sm 2.8225 9.8992 5.4774
Tb 0.0000 2.3001 7.7566
Ho 0.0000 8.2928 4.8144
Sm 0.0000 0.3008 0.2051
Tb 0.0000 2.3497 3.3117
Tb 2.8225 7.8503 8.5841
Sm 0.0000 6.0104 7.4295
Th 0.0000 4.0549 0.1250
```



Record 8
Material: Tb3Sm6Ho2Th
Method: DFT, PBE
State: optimized geometry

Computed properties:
V in Å³ per atom: 32.76
ΔE_f in meV per atom: 28
Calculated total energy in eV/cell: -58.4
Total magnetization in μB per cell: 0.000

```
12
Lattice="-1.3649 -2.3937 5.5717 -4.0613 -0.5170 -4.6771 6.7466 -9.2033 -3.4602" Properties=species:S:1:pos:R:3 pbc="T T T"
Ho -2.2639 -1.7680 2.1549
Sm 1.4376 -9.4097 -0.2349
Sm 0.5470 -8.7899 -3.6198
Sm -2.4112 -4.4822 -0.1864
Th 0.0000 0.0000 0.0000
Sm 0.7733 -3.3241 1.0542
Tb 1.5580 -6.6819 2.1296
Tb -0.2376 -5.4322 -4.6952
Ho -3.1624 -1.1427 -1.2602
Sm 3.7315 -7.6318 -2.3792
Tb 0.6602 -6.0570 -1.2828
Sm -0.1173 -2.7043 -2.3307
```



Record 9
Material: Tb6Sm2Ho3Tl
Method: DFT, PBE
State: optimized geometry

Computed properties:
V in Å³ per atom: 31.04
ΔE_f in meV per atom: -25
Calculated total energy in eV/cell: -53.6
Total magnetization in μB per cell: 0.000

```
12
Lattice="6.1078 -0.0038 0.0010 -3.0557 5.2885 0.0010 -1.0255 -1.7756 11.5361" Properties=species:S:1:pos:R:3 pbc="T T T"
Tb -0.0203 -0.0351 8.6364
Ho -2.0385 3.5171 5.7691
Ho 1.0133 1.7546 5.7691
Tb -1.0056 1.7309 2.8856
Sm 3.0471 1.7639 0.0010
Tl 0.0000 0.0000 0.0000
Tb 2.0470 3.5443 2.9018
Ho 4.0652 -0.0080 5.7691
Tb 2.0018 -0.0060 2.8856
Tb 0.0249 3.5152 8.6526
Sm 0.0050 3.5209 0.0010
Tb 3.0323 1.7783 8.6526
```



Record 10
Material: TbSmHo2Tl2
Method: DFT, PBE
State: optimized geometry

Computed properties:
V in Å³ per atom: 29.18
ΔE_f in meV per atom: -268
Calculated total energy in eV/cell: -49.7
Total magnetization in μB per cell: 0.000

```
12
Lattice="-4.4624 2.3675 -0.8641 0.0345 -2.2783 -6.4208 -4.9321 -8.2390 2.8969" Properties=species:S:1:pos:R:3 pbc="T T T"
Ho -2.4371 0.7198 -0.6396
Tb -3.7398 -2.9326 -3.9195
Tl -4.0054 -2.2899 -0.7868
Tl -0.6240 -2.9057 -4.7387
Ho -6.9365 -7.9643 -1.1971
Tl -4.2702 -7.8286 0.6032
Sm -2.2291 -5.9691 -4.8427
Tb -5.6247 -4.9133 0.3879
Ho -0.8918 -2.2698 -1.6133
Tl -5.3567 -5.7152 -3.1934
Sm -2.6538 -5.5105 -1.3930
Ho -3.9999 -8.6298 -2.9880
```



Record 11
Material: TbSmHo2Tl4
Method: DFT, PBE
State: optimized geometry

Computed properties:
V in Å³ per atom: 27.66
ΔE_f in meV per atom: -344
Calculated total energy in eV/cell: -30.7
Total magnetization in μB per cell: 0.000

```
8
Lattice="5.3851 0.0000 0.0000 2.6926 4.6637 0.0000 2.6926 1.5546 8.8111" Properties=species:S:1:pos:R:3 pbc="T T T"
Tl 2.6926 1.5546 5.4895
Tl 5.3851 3.1091 7.6912
Sm 0.0000 0.0000 0.0000
Ho 2.6926 1.5546 2.2095
Tl 5.3851 3.1091 1.1200
Tl 8.0777 4.6637 3.3217
Ho 8.0777 4.6637 6.6016
Tb 5.3851 3.1091 4.4056
```



Record 12
Material: Tb2Sm3Ho6Tl
Method: DFT, PBE
State: optimized geometry

Computed properties:
V in Å³ per atom: 31.00
ΔE_f in meV per atom: -16
Calculated total energy in eV/cell: -53.4
Total magnetization in μB per cell: 0.002

```
12
Lattice="6.1158 -0.0024 -0.0078 -3.0585 5.2961 -0.0078 -1.0101 -1.7490 11.4911" Properties=species:S:1:pos:R:3 pbc="T T T"
Sm 4.0795 0.0074 5.7377
Ho 3.0512 1.8027 8.6582
Tl 0.0000 0.0000 0.0000
Tb 0.0039 3.5275 -0.0078
Ho 2.0106 0.0009 2.8172
Ho -0.0051 -0.0088 8.6520
Sm -2.0324 3.5372 5.7377
Ho 0.0366 3.5437 8.6582
Ho 2.0523 3.5535 2.8234
Ho -1.0040 1.7419 2.8172
Tb 3.0534 1.7662 -0.0078
Sm 1.0236 1.7723 5.7377
```